A relaxed structure of LiCa2PbO4. Source: the Alexandria database, functional PBE.

As for the uncorrected formation energy: -2.05 eV/atom. As for the crystal system: monoclinic. Its space-group type is No. 10.

The structure in CIF format:
```
data_LiCa2PbO4
_chemical_formula_sum 'Li1 Ca2 Pb1 O4'
_space_group_name_H-M_alt 'P 1'
_space_group_IT_number 1
_cell_length_a 5.771
_cell_length_b 3.483
_cell_length_c 5.811
_cell_angle_alpha 90.00
_cell_angle_beta 107.34
_cell_angle_gamma 90.00
loop_
_space_group_symop_operation_xyz
'x,y,z'
loop_
_atom_site_label
_atom_site_type_symbol
_atom_site_fract_x
_atom_site_fract_y
_atom_site_fract_z
Li1 Li 0.000 0.000 0.000
Ca1 Ca 0.500 0.000 0.500
Ca2 Ca 0.500 0.500 0.000
Pb1 Pb 0.000 0.500 0.500
O1 O 0.250 0.000 0.761
O2 O 0.262 0.500 0.262
O3 O 0.738 0.500 0.738
O4 O 0.750 0.000 0.239
```